Below is a relaxed MgZnHg2 crystal, with properties calculated at the GGA-PBE level.

Unit cell a=6.494 b=3.740 c=7.798 alpha=90.00 beta=105.90 gamma=90.00
Space group Cm (No. 8)
Unique sites:
Mg: 0.000 0.000 0.000 [2 per cell]
Zn: 0.333 0.500 0.500 [2 per cell]
Hg: 0.246 0.000 0.737 [2 per cell]
Hg: 0.420 0.000 0.264 [2 per cell]

Properties
Energy of formation, eV/atom: -0.007
Total magnetic moment, μB/atom: 0.000
DOS at the Fermi energy, states/eV/f.u.: 1.15